Density functional theory data (PBE) for crystalline Na6PdCl12 at its relaxed geometry.

Properties
Total magnetic moment = 2.02 Bohr magnetons per cell
Formation energy from raw total energies = -1.13 eV per atom
Symmetry = R-3 (148)

abc: 7.954 7.954 7.954
angles: 94.70 94.70 94.70
Fractional coordinates of all 19 atoms:
Cl 0.412 0.833 0.540
Cl 0.540 0.412 0.833
Cl 0.588 0.167 0.460
Cl 0.962 0.016 0.705
Cl 0.984 0.295 0.038
Cl 0.705 0.962 0.016
Cl 0.016 0.705 0.962
Cl 0.295 0.038 0.984
Cl 0.833 0.540 0.412
Cl 0.038 0.984 0.295
Cl 0.167 0.460 0.588
Cl 0.460 0.588 0.167
Pd 0.000 0.000 0.000
Na 0.644 0.303 0.156
Na 0.303 0.156 0.644
Na 0.356 0.697 0.844
Na 0.156 0.644 0.303
Na 0.844 0.356 0.697
Na 0.697 0.844 0.356